# 1
MgSbRu2 | PBE-GGA | relaxed

Calculated density ... 9.15 g cm⁻³
Distance to the lowest polymorph of the same formula ... 75 meV/atom
Formation energy from raw total energies ... -148 meV/atom
Fermi-level density of states ... 0.712 states/eV per atom
Space group ... P4/mmm (123)

Lattice parameters (Å, degrees): 4.4421 4.4421 3.2024 90.00 90.00 90.00
Closest atoms and distances in Å follow each position.
Fractional positions:
Mg: 0.0000 0.0000 0.0000  8 Ru 2.74
Sb: 0.5000 0.5000 0.0000  8 Ru 2.74
Ru: 0.0000 0.5000 0.5000  4 Sb 2.74, 4 Mg 2.74
Ru: 0.5000 0.0000 0.5000  4 Sb 2.74, 4 Mg 2.74

***

# 2
MgSbRu2 | PBE-GGA | relaxed

Calculated density ... 8.69 g cm⁻³
Distance to the lowest polymorph of the same formula ... 317 meV/atom
Formation energy from raw total energies ... 94 meV/atom
Fermi-level density of states ... 0.861 states/eV per atom
Space group ... C2/m (12)

Lattice parameters (Å, degrees): 8.5638 3.0665 5.1626 90.00 100.91 90.00
Closest atoms and distances in Å follow each position.
Fractional positions:
Mg: 0.0000 0.0000 0.0000  6 Ru 2.68-2.80, 4 Sb 3.00
Mg: 0.5000 0.5000 0.0000  6 Ru 2.68-2.80, 4 Sb 3.00
Sb: 0.0000 0.5000 0.5000  6 Ru 2.70-2.72, 4 Mg 3.00
Sb: 0.5000 0.0000 0.5000  6 Ru 2.70-2.72, 4 Mg 3.00
Ru: 0.2441 0.0000 0.7425  3 Mg 2.68-2.80, 3 Sb 2.70-2.72, 2 Ru 2.95
Ru: 0.2559 0.5000 0.2575  3 Mg 2.68-2.80, 3 Sb 2.70-2.72, 2 Ru 2.95
Ru: 0.7441 0.5000 0.7425  3 Mg 2.68-2.80, 3 Sb 2.70-2.72, 2 Ru 2.95
Ru: 0.7559 0.0000 0.2575  3 Mg 2.68-2.80, 3 Sb 2.70-2.72, 2 Ru 2.95